First-principles (PBE) data for a relaxed structure of ScIn2Pt2, as listed in the Alexandria database.

* crystal system: orthorhombic
* uncorrected energy: -5.554 eV/atom
* DFT formation energy: -776 meV per atom

Unit cell a=4.5818 b=4.5673 c=9.8556 alpha=89.97 beta=90.00 gamma=90.00
Positions (direct):
1 Pt 0.2500 0.2500 0.8330
2 In 0.7500 0.2499 0.3244
3 In 0.2500 0.7501 0.6756
4 Pt 0.2500 0.2505 0.4888
5 Pt 0.7500 0.7495 0.5112
6 In 0.7500 0.2502 0.9996
7 Sc 0.2500 0.7503 0.3293
8 In 0.2500 0.7498 0.0004
9 Pt 0.7500 0.7500 0.1670
10 Sc 0.7500 0.2497 0.6707